# 1
This record from Alexandria via LeMat-Bulk describes a relaxed Nd5YHo8 crystal. The functional is PBE.

Computed properties:
E_tot, eV/atom: -4.543
Fermi-level density of states, states/eV per cell: 38.48
Calculated formation energy, eV per atom: 0.24

a b c (Å): 9.6262 9.6262 10.1078
angles (deg): 90.00 90.00 90.00
Space group I-4 (No. 82)
Inequivalent atoms, fractional coordinates:
Nd: 0.0000 0.0000 0.0000 x2
Nd: 0.1103 0.2145 0.5788 x8
Y: 0.0000 0.5000 0.2500 x2
Ho: 0.0714 0.3257 0.9052 x8
Ho: 0.0869 0.1749 0.2470 x8

***

# 2
This record from Alexandria via LeMat-Bulk describes a relaxed Nd8Ho2Zn crystal. The functional is PBE.

Computed properties:
E_tot, eV/atom: -4.431
Fermi-level density of states, states/eV per cell: 25.89
Calculated formation energy, eV per atom: -0.02

a b c (Å): 19.4017 5.6836 6.5486
angles (deg): 90.00 93.02 90.00
Space group C2/m (No. 12)
Inequivalent atoms, fractional coordinates:
Nd: 0.0399 0.0000 0.2510 x4
Nd: 0.0800 0.5000 0.6065 x4
Nd: 0.1560 0.5000 0.1191 x4
Nd: 0.1573 0.0000 0.8073 x4
Ho: 0.2371 0.0000 0.3348 x4
Zn: 0.0000 0.5000 0.0000 x2